(1)
Entry from the Alexandria database: a relaxed structure of MnFe2F (GGA+U).

Calculated values
crystal system	cubic
total DFT energy (no corrections)	-4.191	eV per atom
space group	No. 225
size of the total moment	45.207	μB/cell
calculated density	4.7	g/cm³

Geometry as POSCAR:
```
MnFe2F
1.0
6.3966 0.0000 0.0000
0.0000 6.3966 0.0000
0.0000 0.0000 6.3966
Mn Fe F
4 8 4
Direct
0.0000 0.0000 0.0000
0.0000 0.5000 0.5000
0.5000 0.0000 0.5000
0.5000 0.5000 0.0000
0.2500 0.2500 0.2500
0.2500 0.2500 0.7500
0.2500 0.7500 0.2500
0.2500 0.7500 0.7500
0.7500 0.2500 0.2500
0.7500 0.2500 0.7500
0.7500 0.7500 0.2500
0.7500 0.7500 0.7500
0.0000 0.0000 0.5000
0.0000 0.5000 0.0000
0.5000 0.0000 0.0000
0.5000 0.5000 0.5000
```


(2)
Entry from the Alexandria database: a relaxed structure of MnFe2F6 (GGA+U).

Calculated values
crystal system	trigonal
distance to the lowest polymorph of the same formula	250	meV per atom
space group	No. 162
size of the total moment	13.000	μB/cell
calculated density	4.0	g/cm³

Geometry as POSCAR:
```
MnFe2F6
1.0
5.2899 0.0000 0.0000
-2.6449 4.5811 0.0000
0.0000 0.0000 4.7749
Mn Fe F
1 2 6
Direct
0.0000 0.0000 0.0000
0.3333 0.6667 0.5000
0.6667 0.3333 0.5000
0.0000 0.3319 0.2629
0.0000 0.6681 0.7371
0.3319 0.0000 0.2629
0.3319 0.3319 0.7371
0.6681 0.0000 0.7371
0.6681 0.6681 0.2629
```


(3)
Entry from the Alexandria database: a relaxed structure of Mn3FeF8 (GGA+U).

Calculated values
crystal system	orthorhombic
total DFT energy (no corrections)	-6.151	eV per atom
space group	No. 21
size of the total moment	19.008	μB/cell
calculated density	3.3	g/cm³

Geometry as POSCAR:
```
Mn3FeF8
1.0
2.8421 -5.0913 0.0000
2.8421 5.0913 0.0000
0.0000 0.0000 6.3997
Mn Fe F
3 1 8
Direct
0.0000 0.0000 0.0000
0.0000 0.5000 0.7508
0.5000 0.0000 0.2492
0.0000 0.0000 0.5000
0.1982 0.2760 0.7487
0.2043 0.7957 0.5000
0.2132 0.7868 0.0000
0.2760 0.1982 0.2513
0.7240 0.8018 0.2513
0.7868 0.2132 0.0000
0.7957 0.2043 0.5000
0.8018 0.7240 0.7487
```


(4)
Entry from the Alexandria database: a relaxed structure of Mn2Fe2F7 (GGA+U).

Calculated values
crystal system	monoclinic
total DFT energy (no corrections)	-5.788	eV per atom
space group	No. 12
size of the total moment	17.616	μB/cell
calculated density	4.0	g/cm³

Geometry as POSCAR:
```
Mn2Fe2F7
1.0
4.2363 -3.3317 0.0000
4.2363 3.3317 0.0000
-0.3238 0.0000 5.2182
Mn Fe F
2 2 7
Direct
0.2481 0.7519 0.0000
0.7519 0.2481 0.0000
0.2461 0.2461 0.4717
0.7539 0.7539 0.5283
0.0000 0.0000 0.5000
0.0685 0.5171 0.7502
0.4349 0.4349 0.2332
0.4829 0.9315 0.2498
0.5171 0.0685 0.7502
0.5651 0.5651 0.7668
0.9315 0.4829 0.2498
```